Entry 1:
This record from Alexandria describes AgIr at its PBEsol-relaxed geometry. The functional is SCAN.

Cell: 2.729 4.663 4.816 Å, 90.00 90.00 90.00°
Fractional positions:
Ag (0.000, 0.000, 0.000)
Ag (0.500, 0.500, 0.000)
Ir (0.000, 0.500, 0.500)
Ir (0.500, 0.000, 0.500)


Entry 2:
This record from Alexandria describes Ag2Ir at its PBEsol-relaxed geometry. The functional is SCAN.

Calculated values
For the relative energy among the computed polymorphs, the calculation gives 0.0 meV per atom.

Cell: 10.788 2.694 6.677 Å, 90.00 103.94 90.00°
Fractional positions:
Ag (0.130, 0.000, 0.019)
Ag (0.204, 0.000, 0.652)
Ag (0.296, 0.500, 0.348)
Ag (0.370, 0.500, 0.981)
Ag (0.630, 0.500, 0.019)
Ag (0.704, 0.500, 0.652)
Ag (0.796, 0.000, 0.348)
Ag (0.870, 0.000, 0.981)
Ir (0.028, 0.500, 0.327)
Ir (0.472, 0.000, 0.673)
Ir (0.528, 0.000, 0.327)
Ir (0.972, 0.500, 0.673)


Entry 3:
This record from Alexandria describes Ag2Ir at its PBEsol-relaxed geometry. The functional is SCAN.

Calculated values
For the relative energy among the computed polymorphs, the calculation gives 86.7 meV per atom.

Cell: 2.637 15.101 4.730 Å, 90.00 90.00 90.00°
Fractional positions:
Ag (0.000, 0.053, 0.250)
Ag (0.000, 0.280, 0.750)
Ag (0.000, 0.720, 0.250)
Ag (0.000, 0.947, 0.750)
Ag (0.500, 0.220, 0.250)
Ag (0.500, 0.447, 0.750)
Ag (0.500, 0.553, 0.250)
Ag (0.500, 0.780, 0.750)
Ir (0.000, 0.386, 0.250)
Ir (0.000, 0.614, 0.750)
Ir (0.500, 0.114, 0.750)
Ir (0.500, 0.886, 0.250)


no.,energy relative to the elements (eV per formula unit)
1,0.85
2,1.23
3,1.49